! Nd6Ga2Ag (PBE, relaxed); values from VASP
! - D(E_F): 20.18 states/eV/cell
! - Symmetry: Immm
! - E: -0.328 Ry/atom
! - Energy of formation from the pure elements: -292 meV/atom
&SYSTEM
  ibrav = 0, nat = 18, ntyp = 3
/
ATOMIC_SPECIES
Nd 144.24 Nd.upf
Ga 69.72 Ga.upf
Ag 107.87 Ag.upf
CELL_PARAMETERS angstrom
-7.287 -2.436 4.399
-0.512 -2.645 -8.434
7.289 -3.732 3.367
ATOMIC_POSITIONS crystal
Nd 0.554 0.730 0.824
Nd 0.446 0.270 0.176
Nd 0.094 0.270 0.824
Nd 0.906 0.730 0.176
Nd 0.803 0.748 0.551
Nd 0.197 0.252 0.449
Nd 0.197 0.748 0.945
Nd 0.803 0.252 0.055
Nd 0.707 0.382 0.675
Nd 0.293 0.618 0.325
Nd 0.293 0.967 0.675
Nd 0.707 0.033 0.325
Ga 0.500 0.378 0.878
Ga 0.500 0.622 0.122
Ga 0.641 0.000 0.641
Ga 0.359 0.000 0.359
Ag 0.000 0.500 0.500
Ag 0.000 0.000 0.000

***

! Nd5Ga2Ag2 (PBE, relaxed); values from VASP
! - D(E_F): 17.74 states/eV/cell
! - Symmetry: Ima2
! - E: -0.311 Ry/atom
! - Energy of formation from the pure elements: -274 meV/atom
&SYSTEM
  ibrav = 0, nat = 18, ntyp = 3
/
ATOMIC_SPECIES
Nd 144.24 Nd.upf
Ga 69.72 Ga.upf
Ag 107.87 Ag.upf
CELL_PARAMETERS angstrom
-1.712 -8.613 -2.964
0.424 -2.173 6.068
-7.597 6.674 -0.518
ATOMIC_POSITIONS crystal
Nd 0.219 0.639 0.851
Nd 0.781 0.787 0.149
Nd 0.132 0.139 0.851
Nd 0.868 0.287 0.149
Nd 0.295 0.158 0.291
Nd 0.705 0.867 0.709
Nd 0.496 0.658 0.291
Nd 0.504 0.367 0.709
Nd 0.237 0.775 0.500
Nd 0.763 0.275 0.500
Ga 0.130 0.571 0.141
Ga 0.870 0.430 0.859
Ga 0.511 0.071 0.141
Ga 0.489 0.930 0.859
Ag 0.000 0.870 0.000
Ag 0.500 0.370 0.000
Ag 0.099 0.238 0.500
Ag 0.901 0.738 0.500

***

! Nd7Ga2Ag2 (PBE, relaxed); values from VASP
! - D(E_F): 14.12 states/eV/cell
! - Symmetry: Cmmm
! - E: -0.305 Ry/atom
! - Energy of formation from the pure elements: -42 meV/atom
&SYSTEM
  ibrav = 0, nat = 11, ntyp = 3
/
ATOMIC_SPECIES
Nd 144.24 Nd.upf
Ga 69.72 Ga.upf
Ag 107.87 Ag.upf
CELL_PARAMETERS angstrom
6.713 -0.002 -0.934
0.005 7.741 0.002
-1.350 -0.003 6.642
ATOMIC_POSITIONS crystal
Nd 0.000 0.292 0.500
Nd 0.500 0.708 0.000
Nd 0.000 0.708 0.500
Nd 0.500 0.292 0.000
Nd 0.000 0.000 0.000
Nd 0.500 0.727 0.500
Nd 0.500 0.273 0.500
Ga 0.836 0.500 0.836
Ga 0.164 0.500 0.164
Ag 0.710 0.000 0.290
Ag 0.290 0.000 0.710

***

! Nd8Ga2Ag (PBE, relaxed); values from VASP
! - D(E_F): 11.19 states/eV/cell
! - Symmetry: C2/m
! - E: -0.331 Ry/atom
! - Energy of formation from the pure elements: -224 meV/atom
&SYSTEM
  ibrav = 0, nat = 11, ntyp = 3
/
ATOMIC_SPECIES
Nd 144.24 Nd.upf
Ga 69.72 Ga.upf
Ag 107.87 Ag.upf
CELL_PARAMETERS angstrom
-4.343 2.234 1.733
-1.684 -5.860 3.333
7.106 3.311 5.793
ATOMIC_POSITIONS crystal
Nd 0.408 0.542 0.815
Nd 0.660 0.964 0.321
Nd 0.798 0.691 0.596
Nd 0.971 0.242 0.943
Nd 0.202 0.309 0.404
Nd 0.340 0.036 0.679
Nd 0.592 0.458 0.185
Nd 0.029 0.758 0.057
Ga 0.806 0.251 0.612
Ga 0.194 0.749 0.388
Ag 0.500 0.000 0.000

***

! Nd5GaAg2 (PBE, relaxed); values from VASP
! - D(E_F): 20.66 states/eV/cell
! - Symmetry: I4/mcm
! - E: -0.316 Ry/atom
! - Energy of formation from the pure elements: -231 meV/atom
&SYSTEM
  ibrav = 0, nat = 16, ntyp = 3
/
ATOMIC_SPECIES
Nd 144.24 Nd.upf
Ga 69.72 Ga.upf
Ag 107.87 Ag.upf
CELL_PARAMETERS angstrom
-2.082 0.916 -7.307
0.618 -7.544 -1.122
-6.864 2.387 6.262
ATOMIC_POSITIONS crystal
Nd 0.510 0.678 0.689
Nd 0.822 0.990 0.311
Nd 0.000 0.000 0.000
Nd 0.500 0.500 0.000
Nd 0.178 0.010 0.689
Nd 0.678 0.178 0.689
Nd 0.010 0.510 0.689
Nd 0.322 0.822 0.311
Nd 0.990 0.490 0.311
Nd 0.490 0.322 0.311
Ga 0.750 0.750 0.500
Ga 0.250 0.250 0.500
Ag 0.128 0.372 0.000
Ag 0.628 0.128 0.000
Ag 0.372 0.872 0.000
Ag 0.872 0.628 0.000

***

! Nd2Ga2Ag (PBE, relaxed); values from VASP
! - D(E_F): 7.00 states/eV/cell
! - Symmetry: C2/m
! - E: -0.309 Ry/atom
! - Energy of formation from the pure elements: -514 meV/atom
&SYSTEM
  ibrav = 0, nat = 10, ntyp = 3
/
ATOMIC_SPECIES
Nd 144.24 Nd.upf
Ga 69.72 Ga.upf
Ag 107.87 Ag.upf
CELL_PARAMETERS angstrom
4.589 0.000 0.000
2.295 5.451 -0.296
2.295 0.339 9.703
ATOMIC_POSITIONS crystal
Nd 0.688 0.295 0.328
Nd 0.921 0.267 0.892
Nd 0.312 0.705 0.672
Nd 0.079 0.733 0.108
Ga 0.071 0.296 0.563
Ga 0.632 0.844 0.893
Ga 0.929 0.704 0.437
Ga 0.368 0.156 0.107
Ag 0.622 0.105 0.651
Ag 0.378 0.895 0.349

***

! Nd2Ga2Ag3 (PBE, relaxed); values from VASP
! - D(E_F): 1.98 states/eV/cell
! - Symmetry: Cmmm
! - E: -0.277 Ry/atom
! - Energy of formation from the pure elements: -317 meV/atom
&SYSTEM
  ibrav = 0, nat = 7, ntyp = 3
/
ATOMIC_SPECIES
Nd 144.24 Nd.upf
Ga 69.72 Ga.upf
Ag 107.87 Ag.upf
CELL_PARAMETERS angstrom
-2.243 1.075 -2.809
1.415 -3.243 -2.371
-7.926 -4.132 4.747
ATOMIC_POSITIONS crystal
Nd 0.000 0.843 0.685
Nd 0.000 0.157 0.315
Ga 0.500 0.714 0.427
Ga 0.500 0.286 0.573
Ag 0.500 0.569 0.138
Ag 0.500 0.431 0.862
Ag 0.000 0.000 0.000

***

! NdGa12Ag6 (PBE, relaxed); values from VASP
! - D(E_F): 5.43 states/eV/cell
! - Symmetry: R-3m
! - E: -0.228 Ry/atom
! - Energy of formation from the pure elements: -41 meV/atom
&SYSTEM
  ibrav = 0, nat = 19, ntyp = 3
/
ATOMIC_SPECIES
Nd 144.24 Nd.upf
Ga 69.72 Ga.upf
Ag 107.87 Ag.upf
CELL_PARAMETERS angstrom
-1.723 -5.063 5.149
-4.493 -1.787 -5.633
6.640 -2.291 -2.402
ATOMIC_POSITIONS crystal
Nd 0.000 0.000 0.000
Ga 0.894 0.106 0.500
Ga 0.865 0.624 0.624
Ga 0.624 0.624 0.865
Ga 0.376 0.135 0.376
Ga 0.376 0.376 0.135
Ga 0.135 0.376 0.376
Ga 0.106 0.500 0.894
Ga 0.500 0.894 0.106
Ga 0.106 0.894 0.500
Ga 0.894 0.500 0.106
Ga 0.500 0.106 0.894
Ga 0.624 0.865 0.624
Ag 0.720 0.303 0.303
Ag 0.303 0.303 0.720
Ag 0.303 0.720 0.303
Ag 0.697 0.697 0.280
Ag 0.280 0.697 0.697
Ag 0.697 0.280 0.697